[1]
Crystalline Sm5Rh4 at its relaxed geometry. Source: the Alexandria database, functional GGA-PBE.

Calculated values
Energy relative to the lowest polymorph listed for this composition (eV per atom): 0.0000
E_form (eV/atom): -0.711

a b c (Å): 7.471 7.630 14.775
angles (deg): 90.00 90.00 90.00
Fractional coordinates of all 36 atoms:
Sm 0.661 0.167 0.622
Sm 0.161 0.333 0.878
Sm 0.339 0.833 0.122
Sm 0.839 0.667 0.378
Sm 0.339 0.833 0.378
Sm 0.839 0.667 0.122
Sm 0.661 0.167 0.878
Sm 0.161 0.333 0.622
Sm 0.509 0.680 0.593
Sm 0.009 0.820 0.907
Sm 0.491 0.320 0.093
Sm 0.991 0.180 0.407
Sm 0.491 0.320 0.407
Sm 0.991 0.180 0.093
Sm 0.509 0.680 0.907
Sm 0.009 0.820 0.593
Sm 0.823 0.512 0.750
Sm 0.323 0.988 0.750
Sm 0.177 0.488 0.250
Sm 0.677 0.012 0.250
Rh 0.680 0.967 0.460
Rh 0.180 0.533 0.040
Rh 0.320 0.033 0.960
Rh 0.820 0.467 0.540
Rh 0.320 0.033 0.540
Rh 0.820 0.467 0.960
Rh 0.680 0.967 0.040
Rh 0.180 0.533 0.460
Rh 0.457 0.398 0.750
Rh 0.957 0.102 0.750
Rh 0.543 0.602 0.250
Rh 0.043 0.898 0.250
Rh 0.694 0.854 0.750
Rh 0.194 0.646 0.750
Rh 0.306 0.146 0.250
Rh 0.806 0.354 0.250



[2]
Crystalline Er2BRu at its relaxed geometry. Source: the Alexandria database, functional GGA-PBE.

Calculated values
E_form (eV/atom): -0.324

a b c (Å): 5.871 6.934 8.173
angles (deg): 110.82 90.00 90.00
Fractional coordinates of all 16 atoms:
Er 0.732 0.069 0.185
Er 0.232 0.431 0.815
Er 0.268 0.931 0.815
Er 0.768 0.569 0.185
Er 0.740 0.643 0.759
Er 0.240 0.857 0.241
Er 0.260 0.357 0.241
Er 0.760 0.143 0.759
B 0.630 0.445 0.437
B 0.130 0.055 0.563
B 0.370 0.555 0.563
B 0.870 0.945 0.437
Ru 0.447 0.218 0.516
Ru 0.947 0.282 0.484
Ru 0.553 0.782 0.484
Ru 0.053 0.718 0.516



[3]
Crystalline Zr2TaP at its relaxed geometry. Source: the Alexandria database, functional GGA-PBE.

Calculated values
E_form (eV/atom): -0.407

a b c (Å): 5.355 5.355 5.484
angles (deg): 58.80 58.80 36.04
Fractional coordinates of all 4 atoms:
Zr 0.005 0.005 0.994
Zr 0.204 0.204 0.359
Ta 0.804 0.804 0.769
P 0.488 0.488 0.378



[4]
Crystalline NbCuNi14 at its relaxed geometry. Source: the Alexandria database, functional GGA-PBE.

Calculated values
E_form (eV/atom): -0.031

a b c (Å): 5.054 5.054 7.119
angles (deg): 90.00 90.00 90.00
Fractional coordinates of all 16 atoms:
Nb 0.875 0.875 0.500
Cu 0.375 0.375 0.500
Ni 0.875 0.875 0.000
Ni 0.375 0.375 0.000
Ni 0.875 0.375 0.500
Ni 0.875 0.375 0.000
Ni 0.375 0.875 0.500
Ni 0.375 0.875 0.000
Ni 0.623 0.127 0.243
Ni 0.623 0.127 0.757
Ni 0.127 0.623 0.243
Ni 0.127 0.623 0.757
Ni 0.623 0.623 0.243
Ni 0.623 0.623 0.757
Ni 0.127 0.127 0.243
Ni 0.127 0.127 0.757



[5]
Crystalline Er2HfScN4 at its relaxed geometry. Source: the Alexandria database, functional GGA-PBE.

Calculated values
E_form (uncorrected) (meV per atom): -1859

a b c (Å): 3.300 5.710 5.742
angles (deg): 109.25 90.00 90.00
Fractional coordinates of all 8 atoms:
Er 0.500 0.000 0.500
Er 0.000 0.500 0.500
Hf 0.000 0.000 0.000
Sc 0.500 0.500 0.000
N 0.500 0.240 0.232
N 0.500 0.760 0.768
N 0.000 0.250 0.766
N 0.000 0.750 0.234



[6]
Crystalline KBaLiZnF6 at its relaxed geometry. Source: the Alexandria database, functional GGA-PBE.

Calculated values
E_form (uncorrected) (meV per atom): -3029

a b c (Å): 5.801 5.801 5.801
angles (deg): 60.00 60.00 60.00
Fractional coordinates of all 10 atoms:
K 0.000 0.000 0.000
Ba 0.500 0.500 0.500
Li 0.250 0.250 0.250
Zn 0.750 0.750 0.750
F 0.000 0.500 0.500
F 0.000 0.000 0.500
F 0.500 0.000 0.500
F 0.500 0.500 0.000
F 0.000 0.500 0.000
F 0.500 0.000 0.000



[7]
Crystalline LiNdBi at its relaxed geometry. Source: the Alexandria database, functional GGA-PBE.

Calculated values
Energy relative to the lowest polymorph listed for this composition (eV per atom): 0.1377
E_form (eV/atom): -0.573

a b c (Å): 6.221 6.504 8.670
angles (deg): 113.01 90.00 90.00
Fractional coordinates of all 12 atoms:
Li 0.594 0.624 0.206
Li 0.406 0.376 0.794
Li 0.906 0.124 0.706
Li 0.094 0.876 0.294
Nd 0.138 0.320 0.138
Nd 0.362 0.820 0.638
Nd 0.862 0.680 0.862
Nd 0.638 0.180 0.362
Bi 0.661 0.204 0.976
Bi 0.339 0.796 0.024
Bi 0.161 0.296 0.524
Bi 0.839 0.704 0.476



[8]
Crystalline PrCd2Pb at its relaxed geometry. Source: the Alexandria database, functional GGA-PBE.

Calculated values
E_form (eV/atom): 0.161

a b c (Å): 3.421 3.421 12.086
angles (deg): 81.86 81.86 60.00
Fractional coordinates of all 4 atoms:
Pb 0.500 0.500 0.500
Pr 0.000 0.000 0.000
Cd 0.090 0.090 0.730
Cd 0.910 0.910 0.270



[9]
Crystalline PaPd5Rh2 at its relaxed geometry. Source: the Alexandria database, functional GGA-PBE.

Calculated values
E_form (eV/atom): -0.448

a b c (Å): 3.953 5.753 11.430
angles (deg): 90.00 90.00 90.00
Fractional coordinates of all 16 atoms:
Pa 0.000 0.000 0.500
Pa 0.000 0.500 0.000
Pd 0.000 0.000 0.000
Pd 0.000 0.500 0.500
Pd 0.000 0.488 0.750
Pd 0.000 0.512 0.250
Pd 0.000 0.012 0.250
Pd 0.000 0.988 0.750
Pd 0.500 0.235 0.871
Pd 0.500 0.765 0.129
Pd 0.500 0.265 0.371
Pd 0.500 0.735 0.629
Rh 0.500 0.236 0.621
Rh 0.500 0.764 0.379
Rh 0.500 0.264 0.121
Rh 0.500 0.736 0.879



[10]
Crystalline MgF at its relaxed geometry. Source: the Alexandria database, functional GGA-PBE.

Calculated values
Energy relative to the lowest polymorph listed for this composition (eV per atom): 0.0456
E_form (uncorrected) (meV per atom): -2395

a b c (Å): 3.526 3.535 4.805
angles (deg): 90.10 90.24 90.00
Fractional coordinates of all 4 atoms:
Mg 0.751 0.251 0.245
Mg 0.249 0.750 0.755
F 0.250 0.250 0.000
F 0.750 0.750 0.000



[11]
Crystalline CsSnNF2 at its relaxed geometry. Source: the Alexandria database, functional GGA-PBE.

Calculated values
Energy relative to the lowest polymorph listed for this composition (eV per atom): 0.0000
E_form (uncorrected) (meV per atom): -1296

a b c (Å): 4.762 4.762 3.881
angles (deg): 90.00 90.00 90.00
Fractional coordinates of all 5 atoms:
Cs 0.500 0.500 0.500
N 0.000 0.000 0.500
Sn 0.000 0.000 0.000
F 0.000 0.500 0.000
F 0.500 0.000 0.000



[12]
Crystalline La4Te5O at its relaxed geometry. Source: the Alexandria database, functional GGA-PBE.

Calculated values
E_form (uncorrected) (meV per atom): -1649

a b c (Å): 4.137 8.261 11.126
angles (deg): 112.03 100.72 90.00
Fractional coordinates of all 10 atoms:
La 0.281 0.781 0.562
La 0.000 0.795 0.001
La 0.719 0.219 0.438
La 0.000 0.205 0.999
Te 0.843 0.590 0.685
Te 0.842 0.097 0.684
Te 0.158 0.903 0.316
Te 0.500 0.500 0.000
Te 0.157 0.410 0.315
O 0.500 0.000 0.000